VASP calculation (GGA-PBE) on an optimized crystal structure of LaScZnIr.

## Properties
formation energy from the elements: -189 kJ/mol of formula units
Fermi-level density of states: 0.66 states/eV/atom
density: 8.60 g/cm3
SG: F-43m (216)

```
LaScZnIr
1.0
-4.2435 2.2234 1.2089
-3.3097 -2.3559 2.8121
-0.7812 1.4695 4.6522
Zn Ir Sc La
1 1 1 1
Cartesian
-4.1672 0.6685 4.3366
0.0000 0.0000 0.0000
-2.0836 0.3343 2.1683
-6.2508 1.0028 6.5048
```